VASP calculation (PBE) on a relaxed structure of SrHf2W.

abc: 5.018 5.018 5.018
angles: 60.00 60.00 60.00
Fractional coordinates of all 4 atoms:
Sr: 0.000 0.000 0.000
Hf: 0.250 0.250 0.250
Hf: 0.750 0.750 0.750
W: 0.500 0.500 0.500

## Properties
Space-group type: Fm-3m
Crystal system: cubic
Formation energy from the elements in eV/atom: 0.749
Total magnetic moment in μB/f.u.: 0.0
Calculated volume in Å³ per cell: 89.3
Energy above the most stable polymorph in this dataset in meV/atom: 0